--- A ---
Density functional theory data (PBE) for a geometry-optimized FeW2Br structure.

Cell: 4.505 4.505 4.505 Å, 60.00 60.00 60.00°
Fractional positions:
Br 0.500 0.500 0.500
Fe 0.750 0.750 0.750
W 0.000 0.000 0.000
W 0.250 0.250 0.250

Calculated values
size of the total moment: 3.0 μB per formula unit



--- B ---
Density functional theory data (PBE) for a geometry-optimized FeW2Br structure.

Cell: 2.901 2.901 8.825 Å, 90.00 90.00 113.44°
Fractional positions:
Br 0.000 0.000 0.525
Fe 0.500 0.500 0.760
W 0.000 0.000 0.990
W 0.500 0.500 0.224

Calculated values
size of the total moment: 2.9 μB per formula unit



Out of the structures above, which one is the most stable? Solution: B.